This record from Alexandria describes crystalline NbFePb2O at its relaxed geometry. The functional is PBE with a Hubbard U.

Output
**Total energy**: -21.60 eV per cell
**Fermi-level density of states**: 1.34 states/eV per atom

a = 5.5346 Å, b = 5.5346 Å, c = 4.7701 Å
α = 90.00°, β = 90.00°, γ = 90.00°
Element x y z (fractional)
Nb 0.0000 0.0000 0.0000
Fe 0.0000 0.0000 0.5000
Pb 0.0000 0.5000 0.0000
Pb 0.5000 0.0000 0.0000
O 0.5000 0.5000 0.5000